1.
A plane-wave DFT calculation with PBE was carried out for crystalline La3Ce2Pb6 at its relaxed geometry.

Results
* space group: I4/mmm (139)
* raw total energy: -51.05 eV per cell
* magnetic moment: 0.56 μB per cell
* energy relative to the elements: -0.196 eV per atom

Cell lengths 15.4258, 15.4258, 15.4258 Å; angles 161.68, 161.68, 26.01 degrees
Closest atoms and distances in Å follow each position.
Element x y z (fractional)
La1 0.0000 0.0000 0.0000  8 Ce 3.69
La2 0.1968 0.1968 0.0000  9 Pb 3.24-3.49
La3 0.8032 0.8032 0.0000  9 Pb 3.24-3.49
Ce1 0.4580 0.4580 0.0000  1 Ce 2.53
Ce2 0.5420 0.5420 0.0000  1 Ce 2.53
Pb1 0.1141 0.6141 0.5000  2 Ce 3.27, 6 Pb 3.47, 2 La 3.49
Pb2 0.3045 0.3045 0.0000  5 La 3.24-3.47, 4 Pb 3.47
Pb3 0.3859 0.8859 0.5000  2 Ce 3.27, 6 Pb 3.47, 2 La 3.49
Pb4 0.6141 0.1141 0.5000  2 Ce 3.27, 6 Pb 3.47, 2 La 3.49
Pb5 0.6955 0.6955 0.0000  5 La 3.24-3.47, 4 Pb 3.47
Pb6 0.8859 0.3859 0.5000  2 Ce 3.27, 6 Pb 3.47, 2 La 3.49

=====

2.
A plane-wave DFT calculation with PBE was carried out for crystalline La2CePb3 at its relaxed geometry.

Results
* space group: C2/c (15)
* energy above the lowest structure with this stoichiometry: 0.111 eV per atom
* raw total energy: -58.58 eV per cell
* magnetic moment: 1.05 μB per cell
* energy relative to the elements: -0.396 eV per atom

Cell lengths 8.0662, 8.0662, 9.2805 Å; angles 106.73, 106.73, 48.08 degrees
Closest atoms and distances in Å follow each position.
Element x y z (fractional)
La1 0.1709 0.1713 0.0855  6 Pb 3.29-3.34
La2 0.1713 0.1709 0.5855  6 Pb 3.29-3.34
La3 0.8287 0.8291 0.4145  6 Pb 3.29-3.34
La4 0.8291 0.8287 0.9145  6 Pb 3.29-3.34
Ce1 0.4986 0.5014 0.7500  6 Pb 3.20-3.29
Ce2 0.5014 0.4986 0.2500  6 Pb 3.20-3.29
Pb1 0.0018 0.9982 0.2500  2 Ce 3.28-3.29, 4 La 3.33
Pb2 0.3426 0.3431 0.4214  2 Ce 3.20, 4 La 3.29-3.34
Pb3 0.3431 0.3426 0.9214  2 Ce 3.20, 4 La 3.29-3.34
Pb4 0.6569 0.6574 0.0786  2 Ce 3.20, 4 La 3.29-3.34
Pb5 0.6574 0.6569 0.5786  2 Ce 3.20, 4 La 3.29-3.34
Pb6 0.9982 0.0018 0.7500  2 Ce 3.28-3.29, 4 La 3.33

=====

3.
A plane-wave DFT calculation with PBE was carried out for crystalline La4CePb5 at its relaxed geometry.

Results
* space group: P4/mmm (123)
* raw total energy: -49.46 eV per cell
* magnetic moment: 2.56 μB per cell
* energy relative to the elements: -0.527 eV per atom

Cell lengths 4.2766, 4.2766, 17.3225 Å; angles 90.00, 90.00, 90.00 degrees
Closest atoms and distances in Å follow each position.
Element x y z (fractional)
La1 0.0000 0.0000 0.1013  8 Pb 3.48-3.50, 2 La 3.51
La2 0.0000 0.0000 0.3039  1 Ce 3.40, 8 Pb 3.49-3.51, 1 La 3.51
La3 0.0000 0.0000 0.6961  1 Ce 3.40, 8 Pb 3.49-3.51, 1 La 3.51
La4 0.0000 0.0000 0.8987  8 Pb 3.48-3.50, 2 La 3.51
Ce1 0.0000 0.0000 0.5000  2 La 3.40, 8 Pb 3.45
Pb1 0.5000 0.5000 0.0000  2 Pb 3.48, 8 La 3.50
Pb2 0.5000 0.5000 0.2009  2 Pb 3.48-3.53, 8 La 3.48-3.51
Pb3 0.5000 0.5000 0.4045  2 Pb 3.31-3.53, 4 Ce 3.45, 4 La 3.49
Pb4 0.5000 0.5000 0.5955  2 Pb 3.31-3.53, 4 Ce 3.45, 4 La 3.49
Pb5 0.5000 0.5000 0.7991  2 Pb 3.48-3.53, 8 La 3.48-3.51

=====

4.
A plane-wave DFT calculation with PBE was carried out for crystalline La2Ce3Pb4 at its relaxed geometry.

Results
* space group: Cmce (64)
* energy above the lowest structure with this stoichiometry: 0.021 eV per atom
* raw total energy: -91.56 eV per cell
* magnetic moment: 6.60 μB per cell
* energy relative to the elements: -0.366 eV per atom

Cell lengths 9.6470, 9.6470, 9.4092 Å; angles 90.00, 90.00, 136.55 degrees
Closest atoms and distances in Å follow each position.
Element x y z (fractional)
La1 0.1115 0.8885 0.9180  7 Pb 3.49-3.88
La2 0.3885 0.6115 0.4180  7 Pb 3.49-3.88
La3 0.6115 0.3885 0.5820  7 Pb 3.49-3.88
La4 0.8885 0.1115 0.0820  7 Pb 3.49-3.88
Ce1 0.0000 0.0000 0.5000  6 Pb 3.00-3.29
Ce2 0.0435 0.4565 0.7500  5 Pb 3.15-3.42
Ce3 0.4565 0.0435 0.2500  5 Pb 3.15-3.42
Ce4 0.5000 0.5000 0.0000  6 Pb 3.00-3.29
Ce5 0.5435 0.9565 0.7500  5 Pb 3.15-3.42
Ce6 0.9565 0.5435 0.2500  5 Pb 3.15-3.42
Pb1 0.1812 0.8188 0.5562  5 Ce 3.25-3.42, 1 La 3.63
Pb2 0.2195 0.2805 0.7500  3 Ce 3.00-3.15
Pb3 0.2805 0.2195 0.2500  3 Ce 3.00-3.15
Pb4 0.3188 0.6812 0.0562  5 Ce 3.25-3.42, 1 La 3.63
Pb5 0.6812 0.3188 0.9438  5 Ce 3.25-3.42, 1 La 3.63
Pb6 0.7195 0.7805 0.7500  3 Ce 3.00-3.15
Pb7 0.7805 0.7195 0.2500  3 Ce 3.00-3.15
Pb8 0.8188 0.1812 0.4438  5 Ce 3.25-3.42, 1 La 3.63

=====

5.
A plane-wave DFT calculation with PBE was carried out for crystalline LaCe2Pb3 at its relaxed geometry.

Results
* space group: P4/mmm (123)
* energy above the lowest structure with this stoichiometry: 0.000 eV per atom
* raw total energy: -30.63 eV per cell
* magnetic moment: 2.54 μB per cell
* energy relative to the elements: -0.452 eV per atom

Cell lengths 4.2219, 4.2219, 10.2672 Å; angles 90.00, 90.00, 90.00 degrees
Closest atoms and distances in Å follow each position.
Element x y z (fractional)
La1 0.0000 0.0000 0.0000  2 Ce 3.47, 8 Pb 3.48
Ce1 0.0000 0.0000 0.3382  1 Ce 3.32, 8 Pb 3.42-3.43, 1 La 3.47
Ce2 0.0000 0.0000 0.6618  1 Ce 3.32, 8 Pb 3.42-3.43, 1 La 3.47
Pb1 0.5000 0.5000 0.1741  2 Pb 3.35-3.57, 4 Ce 3.43, 4 La 3.48
Pb2 0.5000 0.5000 0.5000  2 Pb 3.35, 8 Ce 3.42
Pb3 0.5000 0.5000 0.8259  2 Pb 3.35-3.57, 4 Ce 3.43, 4 La 3.48

=====

6.
A plane-wave DFT calculation with PBE was carried out for crystalline La2CePb2 at its relaxed geometry.

Results
* space group: Ibam (72)
* raw total energy: -50.06 eV per cell
* magnetic moment: 4.18 μB per cell
* energy relative to the elements: -0.365 eV per atom

Cell lengths 8.3914, 8.3914, 8.3914 Å; angles 115.37, 82.91, 134.02 degrees
Closest atoms and distances in Å follow each position.
Element x y z (fractional)
La1 0.1423 0.1414 0.2837  5 Pb 3.25-3.38
La2 0.3577 0.6414 0.9991  5 Pb 3.25-3.38
La3 0.6423 0.3586 0.0009  5 Pb 3.25-3.38
La4 0.8577 0.8586 0.7163  5 Pb 3.25-3.38
Ce1 0.2500 0.7500 0.5000  2 Ce 3.28, 4 Pb 3.29
Ce2 0.7500 0.2500 0.5000  2 Ce 3.28, 4 Pb 3.29
Pb1 0.1173 0.7729 0.8902  5 La 3.25-3.38, 2 Ce 3.29
Pb2 0.3827 0.2729 0.6556  5 La 3.25-3.38, 2 Ce 3.29
Pb3 0.6173 0.7271 0.3444  5 La 3.25-3.38, 2 Ce 3.29
Pb4 0.8827 0.2271 0.1098  5 La 3.25-3.38, 2 Ce 3.29

=====

7.
A plane-wave DFT calculation with PBE was carried out for crystalline LaCePb2 at its relaxed geometry.

Results
* space group: P4/mmm (123)
* raw total energy: -20.24 eV per cell
* magnetic moment: 1.25 μB per cell
* energy relative to the elements: -0.492 eV per atom

Cell lengths 3.6433, 3.6433, 9.2531 Å; angles 90.00, 90.00, 90.00 degrees
Closest atoms and distances in Å follow each position.
Element x y z (fractional)
La1 0.0000 0.0000 0.0000  8 Pb 3.49, 4 La 3.64
Ce1 0.0000 0.0000 0.5000  8 Pb 3.44, 4 Ce 3.64
Pb1 0.5000 0.5000 0.2542  4 Ce 3.44, 4 La 3.49, 4 Pb 3.64
Pb2 0.5000 0.5000 0.7458  4 Ce 3.44, 4 La 3.49, 4 Pb 3.64

=====

8.
A plane-wave DFT calculation with PBE was carried out for crystalline LaCe4Pb5 at its relaxed geometry.

Results
* space group: P4/mmm (123)
* raw total energy: -51.51 eV per cell
* magnetic moment: 4.83 μB per cell
* energy relative to the elements: -0.431 eV per atom

Cell lengths 4.2392, 4.2392, 16.7401 Å; angles 90.00, 90.00, 90.00 degrees
Closest atoms and distances in Å follow each position.
Element x y z (fractional)
La1 0.0000 0.0000 0.0000  2 Ce 3.44, 8 Pb 3.47
Ce1 0.0000 0.0000 0.2056  1 Ce 3.29, 8 Pb 3.41-3.44, 1 La 3.44
Ce2 0.0000 0.0000 0.4021  2 Ce 3.28-3.29, 8 Pb 3.42-3.43
Ce3 0.0000 0.0000 0.5979  2 Ce 3.28-3.29, 8 Pb 3.42-3.43
Ce4 0.0000 0.0000 0.7944  1 Ce 3.29, 8 Pb 3.41-3.44, 1 La 3.44
Pb1 0.5000 0.5000 0.1050  2 Pb 3.31-3.51, 4 Ce 3.44, 4 La 3.47
Pb2 0.5000 0.5000 0.3024  2 Pb 3.31, 8 Ce 3.41-3.43
Pb3 0.5000 0.5000 0.5000  2 Pb 3.31, 8 Ce 3.42
Pb4 0.5000 0.5000 0.6976  2 Pb 3.31, 8 Ce 3.41-3.43
Pb5 0.5000 0.5000 0.8950  2 Pb 3.31-3.51, 4 Ce 3.44, 4 La 3.47

=====

9.
A plane-wave DFT calculation with PBE was carried out for crystalline LaCePb at its relaxed geometry.

Results
* space group: I4mm (107)
* energy above the lowest structure with this stoichiometry: 0.104 eV per atom
* raw total energy: -15.58 eV per cell
* magnetic moment: 0.89 μB per cell
* energy relative to the elements: -0.337 eV per atom

Cell lengths 5.8266, 5.8266, 5.8266 Å; angles 136.33, 136.33, 63.47 degrees
Closest atoms and distances in Å follow each position.
Element x y z (fractional)
La1 0.0000 0.0000 0.0000  1 Ce 2.91
Ce1 0.7064 0.7064 0.0000  1 La 2.91
Pb1 0.3508 0.3508 0.0000  5 Ce 3.38-3.52, 5 La 3.40-3.48

=====

10.
A plane-wave DFT calculation with PBE was carried out for crystalline LaCe4Pb3 at its relaxed geometry.

Results
* space group: R-3m (166)
* raw total energy: -42.25 eV per cell
* magnetic moment: 6.15 μB per cell
* energy relative to the elements: -0.308 eV per atom

Cell lengths 9.8068, 9.8068, 9.8068 Å; angles 32.98, 32.98, 32.98 degrees
Closest atoms and distances in Å follow each position.
Element x y z (fractional)
La1 0.0000 0.0000 0.0000  8 Ce 3.54-3.80, 6 Pb 3.73
Ce1 0.1368 0.1368 0.1368  4 Pb 3.32-3.57, 3 Ce 3.62
Ce2 0.3866 0.3866 0.3866  5 Pb 3.15-3.37
Ce3 0.6134 0.6134 0.6134  5 Pb 3.15-3.37
Ce4 0.8632 0.8632 0.8632  4 Pb 3.32-3.57, 3 Ce 3.62
Pb1 0.2652 0.2652 0.2652  5 Ce 3.24-3.57
Pb2 0.5000 0.5000 0.5000  8 Ce 3.15-3.32
Pb3 0.7348 0.7348 0.7348  5 Ce 3.24-3.57

=====

11.
A plane-wave DFT calculation with PBE was carried out for crystalline LaCePb2 at its relaxed geometry.

Results
* space group: P4/mmm (123)
* raw total energy: -20.22 eV per cell
* magnetic moment: 1.49 μB per cell
* energy relative to the elements: -0.486 eV per atom

Cell lengths 5.1696, 5.1696, 4.6014 Å; angles 90.00, 90.00, 90.00 degrees
Closest atoms and distances in Å follow each position.
Element x y z (fractional)
La1 0.0000 0.0000 0.0000  8 Pb 3.46, 4 Ce 3.66
Ce1 0.5000 0.5000 0.0000  8 Pb 3.46, 4 La 3.66
Pb1 0.0000 0.5000 0.5000  4 La 3.46, 4 Ce 3.46, 4 Pb 3.66
Pb2 0.5000 0.0000 0.5000  4 La 3.46, 4 Ce 3.46, 4 Pb 3.66

=====

12.
A plane-wave DFT calculation with PBE was carried out for crystalline LaCePb2 at its relaxed geometry.

Results
* space group: R-3m (166)
* raw total energy: -19.48 eV per cell
* magnetic moment: 0.98 μB per cell
* energy relative to the elements: -0.300 eV per atom

Cell lengths 11.1644, 11.1644, 11.1644 Å; angles 18.73, 18.73, 18.73 degrees
Closest atoms and distances in Å follow each position.
Element x y z (fractional)
La1 0.0000 0.0000 0.0000  6 Pb 3.48, 6 La 3.63
Ce1 0.5000 0.5000 0.5000  6 Pb 3.42, 6 Ce 3.63
Pb1 0.2488 0.2488 0.2488  3 Ce 3.42, 3 La 3.48, 6 Pb 3.63
Pb2 0.7512 0.7512 0.7512  3 Ce 3.42, 3 La 3.48, 6 Pb 3.63